# 1
## CsIn2Br3 (PBE-GGA)

Data for a relaxed structure of CsIn2Br3.

Results
The formation energy without anion corrections is -1.021 eV per atom. Its excess energy over the best structure of this formula in the dataset is 0.00 eV per formula unit. Its crystal system is orthorhombic.

a b c (Å): 4.524 8.873 11.691
angles (deg): 90.00 90.00 90.00
Sites, in units of the cell vectors:
1 In 0.000 0.986 0.280
2 In 0.000 0.486 0.720
3 In 0.500 0.085 0.496
4 In 0.500 0.585 0.504
5 Cs 0.000 0.953 0.882
6 Cs 0.000 0.453 0.118
7 Br 0.500 0.620 0.895
8 Br 0.000 0.346 0.424
9 Br 0.500 0.212 0.726
10 Br 0.500 0.712 0.274
11 Br 0.500 0.120 0.105
12 Br 0.000 0.846 0.576



# 2
## HoHfTcRu (PBE-GGA)

Data for a relaxed structure of HoHfTcRu.

Results
The electronic total energy comes out at -8.871 eV per atom. Its crystal system is cubic.

a b c (Å): 4.692 4.692 4.692
angles (deg): 60.00 60.00 60.00
Sites, in units of the cell vectors:
1 Hf 0.500 0.500 0.500
2 Tc 0.250 0.250 0.250
3 Ho 0.000 0.000 0.000
4 Ru 0.750 0.750 0.750



# 3
## CaLa2Ag (PBE-GGA)

Data for a relaxed structure of CaLa2Ag.

Results
Its excess energy over the best structure of this formula in the dataset is 0.43 eV per formula unit. Its crystal system is orthorhombic.

a b c (Å): 5.514 5.514 4.230
angles (deg): 90.00 90.00 90.14
Sites, in units of the cell vectors:
1 Ag 0.500 0.000 0.500
2 Ca 0.000 0.500 0.500
3 La 0.000 0.000 0.000
4 La 0.500 0.500 0.000



# 4
## Tb4PrTm4 (PBE-GGA)

Data for a relaxed structure of Tb4PrTm4.

Results
Its excess energy over the best structure of this formula in the dataset is 1.40 eV per formula unit. Its crystal system is triclinic.

a b c (Å): 6.921 8.354 5.629
angles (deg): 70.22 90.04 100.02
Sites, in units of the cell vectors:
1 Tb 0.809 0.765 0.617
2 Tb 0.191 0.235 0.383
3 Tb 0.469 0.362 0.819
4 Tb 0.531 0.638 0.181
5 Pr 0.000 0.000 0.000
6 Tm 0.703 0.204 0.399
7 Tm 0.297 0.796 0.601
8 Tm 0.984 0.403 0.799
9 Tm 0.016 0.597 0.201